Here is a relaxed Mg2InFe crystal from Alexandria via LeMat-Bulk. Energies are from PBE.

Cell and atoms, written as POSCAR:
```
Mg2InFe
1.0
3.204 0.000 0.000
0.000 3.204 0.000
0.000 0.000 7.432
Mg In Fe
2 1 1
Direct
0.000 0.000 0.000
0.500 0.500 0.289
0.500 0.500 0.709
0.000 0.000 0.493
```

Output
SG: P4mm
E_tot, eV/atom: -3.429
Calculated volume, Å³/cell: 76.3